The following is a DFT calculation (PBE-GGA) of a relaxed structure of BaErTlBr6.

VASP energy = -3.852 eV per atom
Total magnetization = 0.000 μB/f.u.

Lattice parameters (Å, degrees): 7.9431 7.9431 13.6444 90.00 90.00 120.00
Positions (direct):
Ba 0.3333 0.6667 0.2500
Ba 0.6667 0.3333 0.7500
Er 0.6667 0.3333 0.2500
Er 0.3333 0.6667 0.7500
Tl 0.0000 0.0000 0.0000
Tl 0.0000 0.0000 0.5000
Br 0.6599 0.6170 0.1314
Br 0.9571 0.3401 0.1314
Br 0.3401 0.9571 0.6314
Br 0.0429 0.6599 0.8686
Br 0.3830 0.3401 0.3686
Br 0.9571 0.6170 0.3686
Br 0.6170 0.9571 0.8686
Br 0.6599 0.0429 0.3686
Br 0.0429 0.3830 0.6314
Br 0.3830 0.0429 0.1314
Br 0.6170 0.6599 0.6314
Br 0.3401 0.3830 0.8686



The following is a DFT calculation (PBE-GGA) of a relaxed structure of BaEuBr.

VASP energy = -5.576 eV per atom
Total magnetization = 8.320 μB/f.u.

Lattice parameters (Å, degrees): 7.9319 4.3001 4.3001 120.00 90.00 90.00
Each line ends with the local moment (μB).
Positions (direct):
Eu 0.2817 0.3333 0.6667  7.08
Ba 0.7066 0.6667 0.3333  0.17
Br 0.0117 0.0000 0.0000  0.01



The following is a DFT calculation (PBE-GGA) of a relaxed structure of BaEuHgBr.

VASP energy = -4.340 eV per atom
Total magnetization = 8.085 μB/f.u.

Lattice parameters (Å, degrees): 5.8302 5.8302 5.8302 60.00 60.00 60.00
Each line ends with the local moment (μB).
Positions (direct):
Eu 0.2500 0.2500 0.2500  7.01
Hg 0.0000 0.0000 0.0000  0.09
Br 0.5000 0.5000 0.5000  0.02
Ba 0.7500 0.7500 0.7500  0.11



The following is a DFT calculation (PBE-GGA) of a relaxed structure of BaEuSbBr.

VASP energy = -5.830 eV per atom
Total magnetization = 7.000 μB/f.u.

Lattice parameters (Å, degrees): 5.7914 5.7914 5.7914 60.00 60.00 60.00
Each line ends with the local moment (μB).
Positions (direct):
Eu 0.0000 0.0000 0.0000  6.91
Sb 0.2500 0.2500 0.2500  -0.04
Ba 0.5000 0.5000 0.5000  0.00
Br 0.7500 0.7500 0.7500  -0.01



The following is a DFT calculation (PBE-GGA) of a relaxed structure of Ba5Br12F3.

VASP energy = -3.098 eV per atom
Total magnetization = 5.131 μB/f.u.

Lattice parameters (Å, degrees): 16.7726 16.7726 16.7726 109.47 109.47 109.47
Each line ends with the local moment (μB).
Positions (direct):
F 0.7500 0.3750 0.1250  0.52
F 0.8750 0.7500 0.1250  0.52
F 0.3750 0.7500 0.6250  0.52
F 0.2500 0.1250 0.3750  0.52
F 0.8750 0.1250 0.2500  0.52
F 0.3750 0.6250 0.2500  0.52
F 0.6250 0.3750 0.7500  0.52
F 0.1250 0.8750 0.7500  0.52
F 0.7500 0.8750 0.6250  0.52
F 0.6250 0.2500 0.3750  0.52
F 0.1250 0.2500 0.8750  0.52
F 0.2500 0.6250 0.8750  0.52
Ba 0.1250 0.3750 0.2500  0.00
Ba 0.0000 0.5000 0.0000  0.00
Ba 0.0000 0.0000 0.0000  0.00
Ba 0.3750 0.2500 0.1250  0.00
Ba 0.5000 0.0000 0.5000  0.00
Ba 0.5000 0.5000 0.0000  0.00
Ba 0.1250 0.7500 0.3750  0.00
Ba 0.7500 0.1250 0.8750  0.00
Ba 0.7500 0.6250 0.3750  0.00
Ba 0.3750 0.1250 0.7500  0.00
Ba 0.6250 0.8750 0.2500  0.00
Ba 0.5000 0.5000 0.5000  0.00
Ba 0.5000 0.0000 0.0000  0.00
Ba 0.0000 0.0000 0.5000  0.00
Ba 0.2500 0.3750 0.6250  0.00
Ba 0.2500 0.8750 0.1250  0.00
Ba 0.0000 0.5000 0.5000  0.00
Ba 0.8750 0.2500 0.6250  0.00
Ba 0.6250 0.7500 0.8750  0.00
Ba 0.8750 0.6250 0.7500  0.00
Br 0.7210 0.0917 0.0385  0.20
Br 0.3176 0.5385 0.4468  0.20
Br 0.9615 0.4083 0.2790  0.20
Br 0.5385 0.2210 0.0917  0.20
Br 0.6292 0.7210 0.6824  0.20
Br 0.9615 0.5532 0.1824  0.20
Br 0.3176 0.7790 0.3708  0.20
Br 0.0532 0.8708 0.0917  0.20
Br 0.5532 0.9615 0.6824  0.20
Br 0.7210 0.6292 0.1824  0.20
Br 0.7790 0.4615 0.4083  0.20
Br 0.8176 0.9468 0.0385  0.20
Br 0.0917 0.7210 0.5385  0.20
Br 0.4083 0.4468 0.1292  0.20
Br 0.1292 0.9468 0.4083  0.20
Br 0.3708 0.0917 0.5532  0.20
Br 0.1292 0.1824 0.2210  0.20
Br 0.4615 0.6824 0.0532  0.20
Br 0.8176 0.8708 0.2790  0.20
Br 0.0917 0.3708 0.0532  0.20
Br 0.4083 0.9615 0.7790  0.20
Br 0.5532 0.5917 0.3708  0.20
Br 0.9468 0.8176 0.5385  0.20
Br 0.7790 0.3176 0.8708  0.20
Br 0.4468 0.4083 0.6292  0.20
Br 0.0532 0.1824 0.4615  0.20
Br 0.2210 0.6824 0.1292  0.20
Br 0.1824 0.1292 0.7210  0.20
Br 0.5917 0.0385 0.2210  0.20
Br 0.9083 0.6292 0.9468  0.20
Br 0.5385 0.3176 0.9468  0.20
Br 0.6292 0.9083 0.4468  0.20
Br 0.8708 0.8176 0.7790  0.20
Br 0.8708 0.0532 0.5917  0.20
Br 0.9083 0.2790 0.4615  0.20
Br 0.1824 0.0532 0.9615  0.20
Br 0.5917 0.5532 0.8708  0.20
Br 0.4468 0.0385 0.3176  0.20
Br 0.2790 0.3708 0.8176  0.20
Br 0.2210 0.5385 0.5917  0.20
Br 0.9468 0.1292 0.9083  0.20
Br 0.6824 0.2210 0.6292  0.20
Br 0.4615 0.7790 0.9083  0.20
Br 0.0385 0.4468 0.8176  0.20
Br 0.3708 0.2790 0.3176  0.20
Br 0.0385 0.5917 0.7210  0.20
Br 0.6824 0.4615 0.5532  0.20
Br 0.2790 0.9083 0.9615  0.20



The following is a DFT calculation (PBE-GGA) of a relaxed structure of BaBrF6.

Energy above the lowest structure with this stoichiometry = 0 meV/atom
VASP energy = -3.827 eV per atom
Total magnetization = 1.015 μB/f.u.

Lattice parameters (Å, degrees): 10.6855 6.0661 5.3731 80.76 126.96 140.85
Each line ends with the local moment (μB).
Positions (direct):
Ba 0.5000 0.0000 0.0000  0.00
Br 0.0000 0.0000 0.0000  0.41
F 0.9329 0.2667 0.6520  0.20
F 0.7552 0.7514 0.0390  0.03
F 0.2448 0.2486 0.9610  0.03
F 0.0671 0.7333 0.3480  0.20
F 0.6736 0.4247 0.5756  0.03
F 0.3264 0.5753 0.4244  0.03



The following is a DFT calculation (PBE-GGA) of a relaxed structure of Ba2BrF.

Energy above the lowest structure with this stoichiometry = 360 meV/atom
VASP energy = -3.503 eV per atom
Total magnetization = 1.613 μB/f.u.

Lattice parameters (Å, degrees): 5.5350 5.5350 5.5350 60.00 60.00 60.00
Each line ends with the local moment (μB).
Positions (direct):
Ba 0.2500 0.2500 0.2500  0.34
Ba 0.7500 0.7500 0.7500  0.34
Br 0.5000 0.5000 0.5000  0.00
F 0.0000 0.0000 0.0000  0.01



The following is a DFT calculation (PBE-GGA) of a relaxed structure of BaBrF3.

Energy above the lowest structure with this stoichiometry = 0 meV/atom
VASP energy = -3.818 eV per atom
Total magnetization = 2.000 μB/f.u.

Lattice parameters (Å, degrees): 5.1231 5.1231 5.1231 90.00 90.00 90.00
Each line ends with the local moment (μB).
Positions (direct):
Ba 0.0000 0.0000 0.0000  0.00
Br 0.5000 0.5000 0.5000  0.91
F 0.0000 0.5000 0.0000  0.15
F 0.0000 0.0000 0.5000  0.32
F 0.5000 0.0000 0.0000  0.21



The following is a DFT calculation (PBE-GGA) of a relaxed structure of BaBrF3.

Energy above the lowest structure with this stoichiometry = 178 meV/atom
VASP energy = -3.640 eV per atom
Total magnetization = 0.000 μB/f.u.

Lattice parameters (Å, degrees): 4.7579 4.7579 4.7579 90.00 90.00 90.00
Positions (direct):
Ba 0.5000 0.5000 0.5000
Br 0.0000 0.0000 0.0000
F 0.0000 0.5000 0.0000
F 0.0000 0.0000 0.5000
F 0.5000 0.0000 0.0000



The following is a DFT calculation (PBE-GGA) of a relaxed structure of Ba2BrF.

Energy above the lowest structure with this stoichiometry = 0 meV/atom
VASP energy = -3.863 eV per atom
Total magnetization = 1.703 μB/f.u.

Lattice parameters (Å, degrees): 7.0609 7.0609 8.3568 65.01 65.01 90.00
Each line ends with the local moment (μB).
Positions (direct):
Ba 0.5659 0.1250 0.2500  0.17
Ba 0.1841 0.6250 0.2500  0.16
Ba 0.3750 0.4341 0.7500  0.16
Ba 0.8750 0.8159 0.7500  0.16
Br 0.0000 0.0000 0.0000  0.04
Br 0.7500 0.2500 0.5000  0.04
F 0.5000 0.5000 0.0000  0.02
F 0.2500 0.7500 0.5000  0.02



The following is a DFT calculation (PBE-GGA) of a relaxed structure of Ba2BrF2.

Energy above the lowest structure with this stoichiometry = 0 meV/atom
VASP energy = -4.682 eV per atom
Total magnetization = 0.876 μB/f.u.

Lattice parameters (Å, degrees): 4.6341 4.6341 7.5292 72.08 72.08 90.00
Each line ends with the local moment (μB).
Positions (direct):
Ba 0.3501 0.3501 0.2998  0.14
Ba 0.6499 0.6499 0.7002  0.14
Br 0.0000 0.0000 0.0000  0.02
F 0.7500 0.2500 0.5000  0.01
F 0.2500 0.7500 0.5000  0.01



The following is a DFT calculation (PBE-GGA) of a relaxed structure of Ba3BrF.

Energy above the lowest structure with this stoichiometry = 0 meV/atom
VASP energy = -3.123 eV per atom
Total magnetization = 3.490 μB/f.u.

Lattice parameters (Å, degrees): 5.7241 5.7241 5.7241 90.00 90.00 90.00
Each line ends with the local moment (μB).
Positions (direct):
Ba 0.0000 0.5000 0.0000  0.40
Ba 0.0000 0.0000 0.5000  0.39
Ba 0.5000 0.0000 0.0000  0.35
Br 0.5000 0.5000 0.5000  0.05
F 0.0000 0.0000 0.0000  0.04



The following is a DFT calculation (PBE-GGA) of a relaxed structure of BaBrF6.

Energy above the lowest structure with this stoichiometry = 168 meV/atom
VASP energy = -3.659 eV per atom
Total magnetization = 1.010 μB/f.u.

Lattice parameters (Å, degrees): 5.3210 5.3210 6.2587 64.84 64.84 60.00
Each line ends with the local moment (μB).
Positions (direct):
Ba 0.5000 0.5000 0.5000  0.01
Br 0.0000 0.0000 0.0000  0.47
F 0.9178 0.9178 0.7527  0.07
F 0.4116 0.9178 0.7527  0.07
F 0.0822 0.5884 0.2473  0.07
F 0.5884 0.0822 0.2473  0.07
F 0.0822 0.0822 0.2473  0.07
F 0.9178 0.4116 0.7527  0.07



The following is a DFT calculation (PBE-GGA) of a relaxed structure of Ba2BrF2.

Energy above the lowest structure with this stoichiometry = 259 meV/atom
VASP energy = -4.422 eV per atom
Total magnetization = 0.106 μB/f.u.

Lattice parameters (Å, degrees): 8.4535 8.4535 3.5796 90.00 90.00 90.00
Positions (direct):
Ba 0.3408 0.8408 0.0000
Ba 0.8408 0.6592 0.0000
Ba 0.6592 0.1592 0.0000
Ba 0.1592 0.3408 0.0000
Br 0.0000 0.0000 0.0000
Br 0.5000 0.5000 0.0000
F 0.1224 0.6224 0.5000
F 0.6224 0.8776 0.5000
F 0.8776 0.3776 0.5000
F 0.3776 0.1224 0.5000



The following is a DFT calculation (PBE-GGA) of a relaxed structure of BaBr2F.

Energy above the lowest structure with this stoichiometry = 174 meV/atom
VASP energy = -3.439 eV per atom
Total magnetization = 1.000 μB/f.u.

Lattice parameters (Å, degrees): 5.4478 5.4478 5.4478 60.00 60.00 60.00
Each line ends with the local moment (μB).
Positions (direct):
Ba 0.5000 0.5000 0.5000  0.00
Br 0.2500 0.2500 0.2500  -0.22
Br 0.7500 0.7500 0.7500  -0.22
F 0.0000 0.0000 0.0000  -0.36



The following is a DFT calculation (PBE-GGA) of a relaxed structure of BaBr2F.

Energy above the lowest structure with this stoichiometry = 0 meV/atom
VASP energy = -3.613 eV per atom
Total magnetization = 0.000 μB/f.u.

Lattice parameters (Å, degrees): 4.3226 4.3226 12.3139 79.89 79.89 90.00
Positions (direct):
Ba 0.0000 0.0000 0.0000
Ba 0.7500 0.2500 0.5000
Br 0.6236 0.1250 0.2500
Br 0.1264 0.6250 0.2500
Br 0.3750 0.3764 0.7500
Br 0.8750 0.8736 0.7500
F 0.5000 0.5000 0.0000
F 0.2500 0.7500 0.5000



The following is a DFT calculation (PBE-GGA) of a relaxed structure of BaBr2F.

Energy above the lowest structure with this stoichiometry = 222 meV/atom
VASP energy = -3.391 eV per atom
Total magnetization = 1.000 μB/f.u.

Lattice parameters (Å, degrees): 8.1336 8.1336 8.1336 37.23 37.23 37.23
Each line ends with the local moment (μB).
Positions (direct):
Ba 0.5000 0.5000 0.5000  0.01
Br 0.1084 0.1084 0.1084  0.17
Br 0.8916 0.8916 0.8916  0.17
F 0.0000 0.0000 0.0000  0.48



The following is a DFT calculation (PBE-GGA) of a relaxed structure of Ba7Br2F12.

VASP energy = -5.505 eV per atom
Total magnetization = 0.158 μB/f.u.

Lattice parameters (Å, degrees): 4.2668 10.8767 10.8767 120.00 90.00 90.00
Each line ends with the local moment (μB).
Positions (direct):
Ba 0.0000 0.3333 0.6667  0.00
Ba 0.0000 0.0283 0.7696  0.00
Ba 0.0000 0.7413 0.9717  0.00
Ba 0.0000 0.2304 0.2587  0.00
Ba 0.5000 0.6217 0.5619  0.00
Ba 0.5000 0.9402 0.3783  0.00
Ba 0.5000 0.4381 0.0598  0.00
Br 0.5000 0.0000 0.0000  0.01
Br 0.0000 0.6667 0.3333  0.09
F 0.5000 0.8952 0.6158  0.00
F 0.5000 0.7206 0.1048  0.00
F 0.5000 0.3842 0.2794  0.00
F 0.5000 0.2354 0.7817  0.00
F 0.5000 0.5463 0.7646  0.00
F 0.5000 0.2183 0.4537  0.00
F 0.0000 0.0585 0.5448  0.00
F 0.0000 0.4863 0.9415  0.00
F 0.0000 0.4552 0.5137  0.00
F 0.0000 0.7623 0.7318  0.00
F 0.0000 0.9695 0.2377  0.00
F 0.0000 0.2682 0.0305  0.00